Density functional theory data (PBE) for a geometry-optimized BiSb2P2 structure.

a = 8.280 Å, b = 8.280 Å, c = 3.721 Å
α = 90.00°, β = 90.00°, γ = 90.00°
Element x y z (fractional)
Bi: 0.000 0.000 0.000
Bi: 0.500 0.500 0.000
Sb: 0.161 0.339 0.500
Sb: 0.339 0.839 0.500
Sb: 0.661 0.161 0.500
Sb: 0.839 0.661 0.500
P: 0.185 0.685 0.000
P: 0.315 0.185 0.000
P: 0.685 0.815 0.000
P: 0.815 0.315 0.000

Results
N(E_F) in states/eV/f.u.: 2.90
Density in g/cm³: 6.7
SG: P4/mbm, No. 127
Final energy in eV per atom: -4.302
Total magnetic moment in μB/f.u.: 0.000
Formation energy from raw total energies in eV/atom: 0.29
Offset from the most stable computed form in kJ/mol of atoms: 0.0

Density functional theory data (PBE) for a geometry-optimized BiSbP structure.

a = 3.993 Å, b = 6.324 Å, c = 6.896 Å
α = 91.35°, β = 106.42°, γ = 90.32°
Element x y z (fractional)
Bi: 0.161 0.246 0.319
Bi: 0.839 0.754 0.681
Sb: 0.147 0.747 0.293
Sb: 0.853 0.253 0.707
P: 0.498 0.323 0.997
P: 0.502 0.677 0.003

Results
N(E_F) in states/eV/f.u.: 1.60
Density in g/cm³: 7.2
SG: P-1, No. 2
Final energy in eV per atom: -4.311
Total magnetic moment in μB/f.u.: 0.000
Formation energy from raw total energies in eV/atom: 0.16
Offset from the most stable computed form in kJ/mol of atoms: 7.0

Density functional theory data (PBE) for a geometry-optimized BiSbP structure.

a = 5.105 Å, b = 5.595 Å, c = 6.813 Å
α = 71.06°, β = 78.57°, γ = 72.59°
Element x y z (fractional)
Bi: 0.000 0.000 0.000
Bi: 0.292 0.393 0.615
Sb: 0.482 0.488 0.968
Sb: 0.777 0.868 0.611
P: 0.212 0.117 0.284
P: 0.576 0.787 0.325

Results
N(E_F) in states/eV/f.u.: 1.34
Density in g/cm³: 6.9
SG: P1, No. 1
Final energy in eV per atom: -4.325
Total magnetic moment in μB/f.u.: 0.000
Formation energy from raw total energies in eV/atom: 0.15
Offset from the most stable computed form in kJ/mol of atoms: 5.7

Density functional theory data (PBE) for a geometry-optimized BiSbP2 structure.

a = 6.693 Å, b = 6.693 Å, c = 6.693 Å
α = 116.15°, β = 116.15°, γ = 96.81°
Element x y z (fractional)
Bi: 0.000 0.000 0.000
Bi: 0.750 0.250 0.500
Sb: 0.250 0.750 0.500
Sb: 0.500 0.500 0.000
P: 0.142 0.125 0.517
P: 0.375 0.858 0.983
P: 0.608 0.625 0.483
P: 0.875 0.392 0.017

Results
N(E_F) in states/eV/f.u.: 1.81
Density in g/cm³: 5.9
SG: I-42d, No. 122
Final energy in eV per atom: -4.343
Total magnetic moment in μB/f.u.: 0.000
Formation energy from raw total energies in eV/atom: 0.36
Offset from the most stable computed form in kJ/mol of atoms: 0.0

Density functional theory data (PBE) for a geometry-optimized BiSb2P2 structure.

a = 11.035 Å, b = 11.035 Å, c = 11.035 Å
α = 162.58°, β = 162.58°, γ = 24.73°
Element x y z (fractional)
Bi: 0.000 0.000 0.000
Sb: 0.376 0.376 0.000
Sb: 0.624 0.624 0.000
P: 0.250 0.750 0.500
P: 0.750 0.250 0.500

Results
N(E_F) in states/eV/f.u.: 3.09
Density in g/cm³: 7.1
SG: I4/mmm, No. 139
Final energy in eV per atom: -4.239
Total magnetic moment in μB/f.u.: 0.000
Formation energy from raw total energies in eV/atom: 0.35
Offset from the most stable computed form in kJ/mol of atoms: 6.1

Density functional theory data (PBE) for a geometry-optimized Bi3SbP structure.

a = 5.793 Å, b = 5.793 Å, c = 5.793 Å
α = 90.00°, β = 90.00°, γ = 90.00°
Element x y z (fractional)
Bi: 0.000 0.000 0.500
Bi: 0.000 0.500 0.000
Bi: 0.500 0.000 0.000
Sb: 0.000 0.000 0.000
P: 0.500 0.500 0.500

Results
N(E_F) in states/eV/f.u.: 6.91
Density in g/cm³: 6.7
SG: Pm-3m, No. 221
Final energy in eV per atom: -3.039
Total magnetic moment in μB/f.u.: 0.000
Formation energy from raw total energies in eV/atom: 1.20

Density functional theory data (PBE) for a geometry-optimized BiSbP structure.

a = 4.512 Å, b = 6.416 Å, c = 7.065 Å
α = 110.54°, β = 103.80°, γ = 100.45°
Element x y z (fractional)
Bi: 0.123 0.420 0.307
Bi: 0.877 0.580 0.693
Sb: 0.204 0.907 0.314
Sb: 0.796 0.093 0.686
P: 0.467 0.831 0.013
P: 0.533 0.169 0.987

Results
N(E_F) in states/eV/f.u.: 0.40
Density in g/cm³: 6.8
SG: P-1, No. 2
Final energy in eV per atom: -4.384
Total magnetic moment in μB/f.u.: 0.000
Formation energy from raw total energies in eV/atom: 0.09
Offset from the most stable computed form in kJ/mol of atoms: 0.0

Density functional theory data (PBE) for a geometry-optimized BiSbP structure.

a = 4.666 Å, b = 6.057 Å, c = 6.414 Å
α = 87.83°, β = 78.03°, γ = 75.07°
Element x y z (fractional)
Bi: 0.101 0.179 0.168
Bi: 0.899 0.821 0.832
Sb: 0.452 0.424 0.731
Sb: 0.548 0.576 0.269
P: 0.272 0.106 0.564
P: 0.728 0.894 0.436

Results
N(E_F) in states/eV/f.u.: 1.10
Density in g/cm³: 7.0
SG: P-1, No. 2
Final energy in eV per atom: -4.323
Total magnetic moment in μB/f.u.: 0.000
Formation energy from raw total energies in eV/atom: 0.15
Offset from the most stable computed form in kJ/mol of atoms: 5.9